An optimized crystal structure of CaV2InO, computed with PBE with a Hubbard U.

Lattice parameters (Å, degrees): 5.7081 5.7081 4.1207 90.00 90.00 90.00
Last column: nearest neighbours and their distance in Å.
Space group P4/mmm (No. 123)
Asymmetric unit:
1 Ca 0.0000 0.0000 0.0000  2 O 2.06
2 V 0.0000 0.5000 0.0000  2 Ca 2.85
3 In 0.5000 0.5000 0.5000  8 V 3.52
4 O 0.0000 0.0000 0.5000  2 Ca 2.06

Fermi-level density of states = 3.12 states/eV per cell
calculated total energy = -20.6 eV/cell
size of the total moment = 7.82 Bohr magnetons per cell